Entry 1:
Compound: LiBeRe3
Source: Alexandria via LeMat-Bulk
Functional: PBEsol
Structure: optimized geometry

The space group is Pm-3m (No. 221) and the conventional cell measures 4.112, 4.112 and 4.112 Å, with angles of 90.00, 90.00 and 90.00 degrees. Symmetry generates all atoms from Li at (0.000, 0.000, 0.000), Be at (0.500, 0.500, 0.500) and Re at (0.000, 0.500, 0.500).

For the total energy, the calculation gives -8.117 eV/atom. As for the calculated formation energy: 1.076 eV/atom. The crystal system is cubic. As for the density of states at the Fermi level: 3.8 states/eV/cell.

***

Entry 2:
Compound: LiBeRe2
Source: Alexandria via LeMat-Bulk
Functional: PBEsol
Structure: optimized geometry

The space group is C2/m (No. 12) and the conventional cell measures 5.091, 8.168 and 2.552 Å, with angles of 90.00, 107.09 and 90.00 degrees. Symmetry generates all atoms from Li at (0.000, 0.000, 0.000), Be at (0.000, 0.500, 0.000) and Re at (0.250, 0.250, 0.500).

For the total energy, the calculation gives -7.840 eV/atom. As for the calculated formation energy: 0.317 eV/atom. The crystal system is monoclinic. As for the density of states at the Fermi level: 4.8 states/eV/cell.

***

Entry 3:
Compound: LiBeRh
Source: Alexandria via LeMat-Bulk
Functional: PBEsol
Structure: optimized geometry

The space group is F-43m (No. 216) and the conventional cell measures 5.200, 5.200 and 5.200 Å, with angles of 90.00, 90.00 and 90.00 degrees. Symmetry generates all atoms from Li at (0.000, 0.000, 0.000), Be at (0.250, 0.250, 0.750) and Rh at (0.000, 0.000, 0.500).

For the total energy, the calculation gives -4.701 eV/atom. As for the calculated formation energy: 0.001 eV/atom. The crystal system is cubic. As for the density of states at the Fermi level: 0.1 states/eV/cell.

***

Entry 4:
Compound: LiBeRh2
Source: Alexandria via LeMat-Bulk
Functional: PBEsol
Structure: optimized geometry

The space group is Immm (No. 71) and the conventional cell measures 2.714, 4.431 and 7.977 Å, with angles of 90.00, 90.00 and 90.00 degrees. Symmetry generates all atoms from Li at (0.000, 0.000, 0.000), Be at (0.000, 0.000, 0.500) and Rh at (0.000, 0.500, 0.223).

For the total energy, the calculation gives -5.804 eV/atom. As for the calculated formation energy: -0.243 eV/atom. The crystal system is orthorhombic. As for the density of states at the Fermi level: 3.5 states/eV/cell.

***

What did the third record say?
Compound: LiBeRh
Source: Alexandria via LeMat-Bulk
Functional: PBEsol
Structure: optimized geometry

The space group is F-43m (No. 216) and the conventional cell measures 5.200, 5.200 and 5.200 Å, with angles of 90.00, 90.00 and 90.00 degrees. Symmetry generates all atoms from Li at (0.000, 0.000, 0.000), Be at (0.250, 0.250, 0.750) and Rh at (0.000, 0.000, 0.500).

For the total energy, the calculation gives -4.701 eV/atom. As for the calculated formation energy: 0.001 eV/atom. The crystal system is cubic. As for the density of states at the Fermi level: 0.1 states/eV/cell.

***

> Which formula does entry 1 have?

LiBeRe3